## TlBi2Pd2 (PBE)

Data for a geometry-optimized TlBi2Pd2 structure.

Calculated values
DOS(E_F) in states/eV/atom: 0.49
Formation enthalpy at 0 K in eV/atom: -0.192
M_tot in μB per cell: 0.00

a = 5.9225 Å, b = 6.9259 Å, c = 7.1191 Å
α = 80.48°, β = 83.14°, γ = 66.56°
Closest atoms and distances in Å follow each position.
Fractional positions:
1 Tl 0.2421 0.2865 0.2223  2 Pd 2.80-2.87
2 Tl 0.7579 0.7135 0.7777  2 Pd 2.80-2.87
3 Bi 0.0789 0.1153 0.7770  4 Pd 2.79-2.84
4 Bi 0.4473 0.3595 0.7125  4 Pd 2.82-2.91
5 Bi 0.5527 0.6405 0.2875  4 Pd 2.82-2.91
6 Bi 0.9211 0.8847 0.2230  4 Pd 2.79-2.84
7 Pd 0.1567 0.7790 0.5643  4 Bi 2.79-2.84, 1 Tl 2.80, 2 Pd 2.89-2.94
8 Pd 0.3025 0.6964 0.9525  4 Bi 2.81-2.91, 2 Pd 2.84-2.89, 1 Tl 2.87
9 Pd 0.6975 0.3036 0.0475  4 Bi 2.81-2.91, 2 Pd 2.84-2.89, 1 Tl 2.87
10 Pd 0.8433 0.2210 0.4357  4 Bi 2.79-2.84, 1 Tl 2.80, 2 Pd 2.89-2.94

## KSnAs2 (PBE)

Data for a geometry-optimized KSnAs2 structure.

Calculated values
DOS(E_F) in states/eV/atom: 0.26
Formation enthalpy at 0 K in eV/atom: -0.202
M_tot in μB per cell: 0.00

a = 6.7959 Å, b = 12.3246 Å, c = 6.1219 Å
α = 90.00°, β = 90.00°, γ = 90.00°
Closest atoms and distances in Å follow each position.
Fractional positions:
1 K 0.1150 0.1346 0.0000  6 As 3.40-3.74, 1 Sn 3.63
2 K 0.3850 0.6346 0.5000  6 As 3.40-3.74, 1 Sn 3.63
3 K 0.6150 0.3654 0.0000  6 As 3.40-3.74, 1 Sn 3.63
4 K 0.8850 0.8654 0.5000  6 As 3.40-3.74, 1 Sn 3.63
5 Sn 0.0688 0.6339 0.0226  4 As 2.71-2.97
6 Sn 0.4312 0.1339 0.5226  4 As 2.71-2.97
7 Sn 0.5688 0.8661 0.0226  4 As 2.71-2.97
8 Sn 0.9312 0.3661 0.5226  4 As 2.71-2.97
9 As 0.1355 0.4045 0.1496  1 As 2.47, 1 Sn 2.71
10 As 0.1727 0.8606 0.9799  1 As 2.47, 1 Sn 2.71
11 As 0.3273 0.3606 0.4799  1 As 2.47, 1 Sn 2.71
12 As 0.3645 0.9045 0.6496  1 As 2.47, 1 Sn 2.71
13 As 0.6355 0.0955 0.1496  1 As 2.47, 1 Sn 2.71
14 As 0.6727 0.6394 0.9799  1 As 2.47, 1 Sn 2.71
15 As 0.8273 0.1394 0.4799  1 As 2.47, 1 Sn 2.71
16 As 0.8645 0.5955 0.6496  1 As 2.47, 1 Sn 2.71

## Nb6Al2C (PBE)

Data for a geometry-optimized Nb6Al2C structure.

Calculated values
DOS(E_F) in states/eV/atom: 0.63
Formation enthalpy at 0 K in eV/atom: -0.175
M_tot in μB per cell: 0.00

a = 5.5249 Å, b = 6.0586 Å, c = 10.4037 Å
α = 90.00°, β = 120.76°, γ = 90.00°
Closest atoms and distances in Å follow each position.
Fractional positions:
1 Nb 0.1230 0.0045 0.2408  1 C 2.23
2 Nb 0.1230 0.4955 0.7408  1 C 2.23
3 Nb 0.1877 0.6813 0.0207  1 C 2.15
4 Nb 0.1877 0.8187 0.5207  1 C 2.15
5 Nb 0.3732 0.1982 0.0234  1 C 2.29
6 Nb 0.3732 0.3018 0.5234  1 C 2.29
7 Nb 0.6268 0.6982 0.4766  1 C 2.29
8 Nb 0.6268 0.8018 0.9766  1 C 2.29
9 Nb 0.8123 0.1813 0.4793  1 C 2.15
10 Nb 0.8123 0.3187 0.9793  1 C 2.15
11 Nb 0.8770 0.5045 0.2592  1 C 2.23
12 Nb 0.8770 0.9955 0.7592  1 C 2.23
13 Al 0.3535 0.0964 0.7536  9 Nb 2.70-2.94
14 Al 0.3535 0.4036 0.2536  9 Nb 2.70-2.94
15 Al 0.6465 0.5964 0.7464  9 Nb 2.70-2.94
16 Al 0.6465 0.9036 0.2464  9 Nb 2.70-2.94
17 C 0.0000 0.0000 0.0000  6 Nb 2.15-2.29
18 C 0.0000 0.5000 0.5000  6 Nb 2.15-2.29

## La2MoI2 (PBE)

Data for a geometry-optimized La2MoI2 structure.

Calculated values
DOS(E_F) in states/eV/atom: 2.47
M_tot in μB per cell: 0.00
Formation energy without anion corrections in eV/atom: 0.422

a = 8.4754 Å, b = 8.4754 Å, c = 8.4754 Å
α = 147.93°, β = 147.93°, γ = 45.99°
Closest atoms and distances in Å follow each position.
Fractional positions:
1 La 0.1039 0.1039 0.0000  1 La 3.24, 4 I 3.27
2 La 0.8961 0.8961 0.0000  1 La 3.24, 4 I 3.27
3 Mo 0.5000 0.5000 0.0000  8 La 3.69
4 I 0.2500 0.7500 0.5000  4 La 3.27, 4 I 3.31
5 I 0.7500 0.2500 0.5000  4 La 3.27, 4 I 3.31

## Al6Pd5Rh (PBE)

Data for a geometry-optimized Al6Pd5Rh structure.

Calculated values
DOS(E_F) in states/eV/atom: 0.44
Formation enthalpy at 0 K in eV/atom: -0.889
M_tot in μB per cell: 0.00

a = 6.8247 Å, b = 6.8247 Å, c = 6.1859 Å
α = 90.00°, β = 90.00°, γ = 143.20°
Closest atoms and distances in Å follow each position.
Fractional positions:
1 Al 0.0000 0.0000 0.2450  2 Rh 2.63, 6 Pd 2.64-2.69
2 Al 0.0000 0.0000 0.7550  2 Rh 2.63, 6 Pd 2.64-2.69
3 Al 0.3354 0.6646 0.2477  1 Rh 2.63, 7 Pd 2.64-2.67
4 Al 0.3354 0.6646 0.7523  1 Rh 2.63, 7 Pd 2.64-2.67
5 Al 0.6646 0.3354 0.2477  1 Rh 2.63, 7 Pd 2.64-2.67
6 Al 0.6646 0.3354 0.7523  1 Rh 2.63, 7 Pd 2.64-2.67
7 Pd 0.1671 0.8329 0.0000  8 Al 2.64-2.66
8 Pd 0.1681 0.8319 0.5000  8 Al 2.66-2.69
9 Pd 0.5000 0.5000 0.5000  8 Al 2.64-2.67
10 Pd 0.8319 0.1681 0.5000  8 Al 2.66-2.69
11 Pd 0.8329 0.1671 0.0000  8 Al 2.64-2.66
12 Rh 0.5000 0.5000 0.0000  8 Al 2.63

## Cs2ThSe3 (PBE)

Data for a geometry-optimized Cs2ThSe3 structure.

Calculated values
DOS(E_F) in states/eV/atom: 0.00
M_tot in μB per cell: 0.00
Formation energy without anion corrections in eV/atom: -1.564

a = 7.9940 Å, b = 7.9940 Å, c = 8.8616 Å
α = 98.91°, β = 98.91°, γ = 119.84°
Closest atoms and distances in Å follow each position.
Fractional positions:
1 Cs 0.0000 0.0000 0.0000  6 Se 3.51-3.54
2 Cs 0.1514 0.8486 0.5000  4 Se 3.48-3.77
3 Cs 0.5000 0.5000 0.5000  2 Se 3.45
4 Cs 0.8486 0.1514 0.5000  4 Se 3.48-3.77
5 Th 0.3322 0.6678 0.0000  6 Se 2.96-2.97
6 Th 0.6678 0.3322 0.0000  6 Se 2.96-2.97
7 Se 0.0681 0.4596 0.1965  2 Th 2.97
8 Se 0.3236 0.3236 0.8087  2 Th 2.96
9 Se 0.4596 0.0681 0.1965  2 Th 2.97
10 Se 0.5404 0.9319 0.8035  2 Th 2.97
11 Se 0.6764 0.6764 0.1913  2 Th 2.96
12 Se 0.9319 0.5404 0.8035  2 Th 2.97

## CdPHS2 (PBE)

Data for a geometry-optimized CdPHS2 structure.

Calculated values
DOS(E_F) in states/eV/atom: 0.28
M_tot in μB per cell: 0.00

a = 4.8782 Å, b = 4.8782 Å, c = 3.1997 Å
α = 90.00°, β = 90.00°, γ = 90.00°
Closest atoms and distances in Å follow each position.
Fractional positions:
1 Cd 0.0000 0.0000 0.0000  8 S 2.92, 2 Cd 3.20
2 P 0.5000 0.5000 0.0000  2 H 1.60
3 H 0.5000 0.5000 0.5000  2 P 1.60
4 S 0.0000 0.5000 0.5000  2 H 2.44
5 S 0.5000 0.0000 0.5000  2 H 2.44

## Rb2ReRh (PBE)

Data for a geometry-optimized Rb2ReRh structure.

Calculated values
DOS(E_F) in states/eV/atom: 1.03
Formation enthalpy at 0 K in eV/atom: 1.287
M_tot in μB per cell: 6.87

a = 9.4687 Å, b = 9.4687 Å, c = 9.4687 Å
α = 93.57°, β = 93.57°, γ = 151.12°
Closest atoms and distances in Å follow each position.
Fractional positions:
1 Rb 0.3750 0.0573 0.1823  2 Rh 3.41, 2 Re 3.80
2 Rb 0.8073 0.6250 0.6823  2 Rh 3.41, 2 Re 3.80
3 Rb 0.8750 0.1927 0.8177  2 Rh 3.41, 2 Re 3.80
4 Rb 0.9427 0.1250 0.3177  2 Rh 3.41, 2 Re 3.80
5 Re 0.2500 0.7500 0.5000  2 Rh 2.36
6 Re 0.5000 0.5000 0.0000  2 Rh 2.36
7 Rh 0.0000 0.0000 0.0000  2 Re 2.36
8 Rh 0.7500 0.2500 0.5000  2 Re 2.36

## ZnAg5Sn (PBE)

Data for a geometry-optimized ZnAg5Sn structure.

Calculated values
DOS(E_F) in states/eV/atom: 0.31
Formation enthalpy at 0 K in eV/atom: 0.242
M_tot in μB per cell: 0.00

a = 5.9431 Å, b = 5.9431 Å, c = 5.9431 Å
α = 124.81°, β = 104.15°, γ = 100.64°
Closest atoms and distances in Å follow each position.
Fractional positions:
1 Zn 0.0000 0.0000 0.0000  2 Sn 2.76, 4 Ag 2.76-2.87
2 Ag 0.1542 0.3351 0.8191  1 Ag 2.64, 1 Sn 2.74, 1 Zn 2.87
3 Ag 0.3747 0.8747 0.5000  1 Sn 2.65, 2 Ag 2.73
4 Ag 0.5160 0.3351 0.1809  1 Ag 2.64, 1 Sn 2.74, 1 Zn 2.87
5 Ag 0.6818 0.4388 0.7570  5 Ag 2.68-2.97, 1 Zn 2.76, 1 Sn 2.97
6 Ag 0.6818 0.9247 0.2430  5 Ag 2.68-2.97, 1 Zn 2.76, 1 Sn 2.97
7 Sn 0.0259 0.5259 0.5000  3 Ag 2.65-2.74, 2 Zn 2.76

## Bi3TeI (PBE)

Data for a geometry-optimized Bi3TeI structure.

Calculated values
DOS(E_F) in states/eV/atom: 0.72
M_tot in μB per cell: 0.00
Formation energy without anion corrections in eV/atom: 0.612

a = 5.9439 Å, b = 5.9439 Å, c = 5.9439 Å
α = 90.00°, β = 90.00°, γ = 90.00°
Closest atoms and distances in Å follow each position.
Fractional positions:
1 Bi 0.0000 0.0000 0.5000  2 Te 2.97
2 Bi 0.0000 0.5000 0.0000  2 Te 2.97
3 Bi 0.5000 0.0000 0.0000  2 Te 2.97
4 Te 0.0000 0.0000 0.0000  6 Bi 2.97
5 I 0.5000 0.5000 0.5000  12 Bi 4.20

Number 1: final energy -42.947 eV for the cell shown. Number 2: final energy -60.836 eV for the cell shown. Number 3: final energy -157.411 eV for the cell shown. Number 4: final energy -21.676 eV for the cell shown. Number 5: final energy -66.440 eV for the cell shown. Number 6: final energy -57.929 eV for the cell shown. Number 7: final energy -15.223 eV for the cell shown. Number 8: final energy -33.170 eV for the cell shown. Number 9: final energy -17.841 eV for the cell shown. Number 10: final energy -13.273 eV for the cell shown.